No. 1
A plane-wave DFT calculation with PBE-GGA was carried out for a relaxed Al2SiSb crystal.

Cell and atoms, written as POSCAR:
```
Al2SiSb
1.0
3.056 0.000 0.000
0.000 4.685 0.000
-0.011 0.000 6.034
Al Si Sb
2 1 1
Direct
0.000 0.000 0.000
0.499 0.500 0.819
0.498 0.000 0.650
0.001 0.500 0.256
```



No. 2
A plane-wave DFT calculation with PBE-GGA was carried out for a relaxed AlSi2Sb crystal.

Cell and atoms, written as POSCAR:
```
AlSi2Sb
1.0
3.114 0.000 0.000
0.000 3.375 0.000
0.000 0.000 7.085
Al Si Sb
1 2 1
Direct
0.000 0.000 0.000
0.000 0.000 0.609
0.500 0.500 0.777
0.500 0.500 0.299
```



No. 3
A plane-wave DFT calculation with PBE-GGA was carried out for a relaxed Al2SiSb crystal.

Cell and atoms, written as POSCAR:
```
Al2SiSb
1.0
4.593 0.000 0.000
0.000 4.593 0.000
0.000 0.000 3.672
Al Si Sb
2 1 1
Direct
0.000 0.500 0.000
0.500 0.000 0.000
0.000 0.000 0.500
0.500 0.500 0.500
```



Computed energy above the lowest structure with this stoichiometry, in the same sequence as the records: 106 199 194 meV per atom.
Computed uncorrected formation energy, in the same sequence as the records: 0.234 0.357 0.322 eV per atom.